(1)
# CdRh2C PBE optimized geometry
data_CdRh2C
_chemical_formula_sum 'Cd2 Rh4 C2'
_space_group_name_H-M_alt 'P 1'
_space_group_IT_number 1
_space_group_name_Hall 'P 1'
_cell_length_a 6.396
_cell_length_b 6.396
_cell_length_c 5.389
_cell_angle_alpha 53.60
_cell_angle_beta 53.60
_cell_angle_gamma 90.00
loop_
_atom_site_label
_atom_site_fract_x
_atom_site_fract_y
_atom_site_fract_z
C1 0.500 0.500 0.000
C2 0.250 0.750 0.500
Rh1 0.508 0.125 0.250
Rh2 0.242 0.625 0.250
Rh3 0.375 0.492 0.750
Rh4 0.875 0.758 0.750
Cd1 0.000 0.000 0.000
Cd2 0.750 0.250 0.500
# Fermi-level density of states, states/eV per cell: 1.6
# ΔE_f, eV/f.u.: 0.5
# Calculated density, Mg/m³: 9.2
# Energy above the most stable polymorph in this dataset, eV/atom: 0.025
# M_tot, μB per formula unit: 0.00


(2)
# LiDyCd3 PBE optimized geometry
data_LiDyCd3
_chemical_formula_sum 'Li2 Dy2 Cd6'
_space_group_name_H-M_alt 'P 1'
_space_group_IT_number 1
_space_group_name_Hall 'P 1'
_cell_length_a 4.983
_cell_length_b 3.357
_cell_length_c 14.369
_cell_angle_alpha 96.71
_cell_angle_beta 105.44
_cell_angle_gamma 90.00
loop_
_atom_site_label
_atom_site_fract_x
_atom_site_fract_y
_atom_site_fract_z
Li1 0.456 0.131 0.262
Li2 0.544 0.869 0.738
Dy1 0.134 0.426 0.851
Dy2 0.866 0.574 0.149
Cd1 0.703 0.970 0.939
Cd2 0.297 0.030 0.061
Cd3 0.613 0.715 0.430
Cd4 0.387 0.285 0.570
Cd5 0.967 0.822 0.644
Cd6 0.033 0.178 0.356
# Fermi-level density of states, states/eV per cell: 5.9
# ΔE_f, eV/f.u.: -0.9
# Calculated density, Mg/m³: 7.3
# Energy above the most stable polymorph in this dataset, eV/atom: 0.009
# M_tot, μB per formula unit: 0.00


(3)
# In2IrOs2 PBE optimized geometry
data_In2IrOs2
_chemical_formula_sum 'In4 Ir2 Os4'
_space_group_name_H-M_alt 'P 1'
_space_group_IT_number 1
_space_group_name_Hall 'P 1'
_cell_length_a 7.729
_cell_length_b 7.729
_cell_length_c 2.920
_cell_angle_alpha 90.00
_cell_angle_beta 90.00
_cell_angle_gamma 90.00
loop_
_atom_site_label
_atom_site_fract_x
_atom_site_fract_y
_atom_site_fract_z
Ir1 0.000 0.000 0.000
Ir2 0.500 0.500 0.000
Os1 0.171 0.671 0.500
Os2 0.671 0.829 0.500
Os3 0.829 0.329 0.500
Os4 0.329 0.171 0.500
In1 0.369 0.869 0.000
In2 0.869 0.631 0.000
In3 0.631 0.131 0.000
In4 0.131 0.369 0.000
# Fermi-level density of states, states/eV per cell: 9.0
# ΔE_f, eV/f.u.: 4.8
# Calculated density, Mg/m³: 15.3
# Energy above the most stable polymorph in this dataset, eV/atom: 0.221
# M_tot, μB per formula unit: 0.00


(4)
# Ta3NbIr PBE optimized geometry
data_Ta3NbIr
_chemical_formula_sum 'Ta3 Nb1 Ir1'
_space_group_name_H-M_alt 'P 1'
_space_group_IT_number 1
_space_group_name_Hall 'P 1'
_cell_length_a 4.754
_cell_length_b 4.754
_cell_length_c 4.754
_cell_angle_alpha 90.00
_cell_angle_beta 90.00
_cell_angle_gamma 90.00
loop_
_atom_site_label
_atom_site_fract_x
_atom_site_fract_y
_atom_site_fract_z
Nb1 0.000 0.000 0.000
Ir1 0.500 0.500 0.500
Ta1 0.000 0.500 0.000
Ta2 0.000 0.000 0.500
Ta3 0.500 0.000 0.000
# Fermi-level density of states, states/eV per cell: 5.4
# ΔE_f, eV/f.u.: 9.2
# Calculated density, Mg/m³: 12.8
# Energy above the most stable polymorph in this dataset, eV/atom: 2.068
# M_tot, μB per formula unit: 0.00